Entry 1:
VASP calculation (GGA-PBE) on a relaxed structure of K2ZnAu2.

a = 7.241 Å, b = 7.241 Å, c = 5.216 Å
α = 90.00°, β = 90.00°, γ = 90.00°
Positions (direct):
Zn  0.000  0.000  0.000
Zn  0.500  0.500  0.000
Au  0.359  0.859  0.000
Au  0.859  0.641  0.000
Au  0.641  0.141  0.000
Au  0.141  0.359  0.000
K  0.170  0.670  0.500
K  0.670  0.830  0.500
K  0.830  0.330  0.500
K  0.330  0.170  0.500

Results
Energy relative to the elements = -16.8 kJ per mole of atoms
Total magnetic moment = 0.0 μB per formula unit
E above lowest polymorph = 95 meV/atom
VASP energy = -2.18 eV/atom

---

Entry 2:
VASP calculation (GGA-PBE) on a relaxed structure of Zr6Ga3N.

a = 5.723 Å, b = 8.430 Å, c = 8.430 Å
α = 100.69°, β = 90.00°, γ = 90.00°
Positions (direct):
Zr  0.179  0.774  0.684
Zr  0.679  0.684  0.774
Zr  0.218  0.456  0.875
Zr  0.718  0.875  0.456
Zr  0.991  0.088  0.912
Zr  0.712  0.308  0.692
Zr  0.212  0.692  0.308
Zr  0.491  0.912  0.088
Zr  0.218  0.125  0.544
Zr  0.718  0.544  0.125
Zr  0.179  0.316  0.226
Zr  0.679  0.226  0.316
Ga  0.521  0.003  0.766
Ga  0.021  0.766  0.003
Ga  0.400  0.480  0.520
Ga  0.900  0.520  0.480
Ga  0.021  0.997  0.234
Ga  0.521  0.234  0.997
N  0.048  0.250  0.750
N  0.548  0.750  0.250

Results
Total magnetic moment = 0.0 μB per formula unit
VASP energy = -7.42 eV/atom
E_form (uncorrected) = -0.554 eV per atom

---

Entry 3:
VASP calculation (GGA-PBE) on a relaxed structure of Y2ThH.

a = 3.393 Å, b = 3.393 Å, c = 8.498 Å
α = 90.00°, β = 90.00°, γ = 90.00°
Positions (direct):
Y  0.000  0.000  0.804
Y  0.000  0.000  0.196
H  0.500  0.500  0.000
Th  0.500  0.500  0.500

Results
Total magnetic moment = 0.0 μB per formula unit
E above lowest polymorph = 154 meV/atom
VASP energy = -5.77 eV/atom

---

Entry 4:
VASP calculation (GGA-PBE) on a relaxed structure of LiFe2BTe.

a = 3.906 Å, b = 3.975 Å, c = 3.906 Å
α = 90.00°, β = 90.00°, γ = 90.00°
Positions (direct):
B  0.000  0.000  0.000
Te  0.500  0.500  0.500
Fe  0.000  0.000  0.500
Fe  0.500  0.000  0.000
Li  0.000  0.500  0.000

Results
Total magnetic moment = 0.0 μB per formula unit
VASP energy = -5.57 eV/atom
E_form (uncorrected) = 0.159 eV per atom

---

Entry 5:
VASP calculation (GGA-PBE) on a relaxed structure of Li3Hg.

a = 4.297 Å, b = 4.290 Å, c = 4.848 Å
α = 116.26°, β = 116.31°, γ = 90.00°
Positions (direct):
Hg  0.000  0.917  0.000
Li  0.250  0.667  0.500
Li  0.500  0.417  0.000
Li  0.750  0.166  0.500

Results
Energy relative to the elements = -27.0 kJ per mole of atoms
Total magnetic moment = 0.0 μB per formula unit
E above lowest polymorph = 0 meV/atom
VASP energy = -1.79 eV/atom